(1)
This record from Alexandria via LeMat-Bulk describes a geometry-optimized Li2NdZn2 structure. The functional is GGA-PBE.

Geometry as POSCAR:
```
Li2NdZn2
1.0
-1.7852 2.2867 12.8294
1.7852 -2.2867 12.8294
1.7852 2.2867 -12.8294
Li Nd Zn
4 2 4
Cartesian
1.7852 1.1434 -5.2649
0.0000 1.1434 5.0730
1.7852 1.1434 7.7565
0.0000 1.1434 18.0943
1.7852 1.1434 1.9845
0.0000 1.1434 10.8450
1.7852 -1.1434 9.5232
1.7852 -1.1434 12.1905
0.0000 3.4301 0.6389
0.0000 3.4301 3.3062
```

Summary:
total moment: 0.0 μB/f.u.
SG: Imma (74)
E_form: -0.1787 eV per atom


(2)
This record from Alexandria via LeMat-Bulk describes a geometry-optimized Ac3SiNi3 structure. The functional is GGA-PBE.

Geometry as POSCAR:
```
Ac3SiNi3
1.0
8.6932 0.0000 0.0000
-4.3466 7.5286 0.0000
0.0000 0.0000 5.8897
Ac Si Ni
6 2 6
Cartesian
-1.0236 2.7471 1.4724
-1.4557 7.0414 1.4724
1.8673 2.2600 4.4173
2.4793 5.2685 1.4724
5.8024 0.4871 4.4173
5.3702 4.7814 4.4173
0.0000 5.0190 4.4173
4.3466 2.5095 1.4724
-0.9770 2.9786 4.4173
-1.2785 6.8854 4.4173
2.0910 2.3355 1.4724
2.2556 5.1931 4.4173
5.6252 0.6432 1.4724
5.3237 4.5499 1.4724
```

Summary:
total moment: 0.0 μB/f.u.
SG: P6_3/m (176)
formation energy from raw total energies: -0.228 eV/atom
energy relative to the lowest polymorph listed for this composition: 0.170 eV/atom


(3)
This record from Alexandria via LeMat-Bulk describes a geometry-optimized HoTmCoNi structure. The functional is GGA-PBE.

Geometry as POSCAR:
```
HoTmCoNi
1.0
0.0000 3.3211 3.3211
3.3211 0.0000 3.3211
3.3211 3.3211 0.0000
Ho Tm Co Ni
1 1 1 1
Cartesian
0.0000 0.0000 0.0000
3.3211 3.3211 3.3211
4.9817 4.9817 4.9817
1.6606 1.6606 1.6606
```

Summary:
total moment: 0.0 μB/f.u.
SG: F-43m (216)
E_form: -0.3094 eV per atom
energy relative to the lowest polymorph listed for this composition: 0.039 eV/atom


(4)
This record from Alexandria via LeMat-Bulk describes a geometry-optimized TlSiP4 structure. The functional is GGA-PBE.

Geometry as POSCAR:
```
TlSiP4
1.0
0.0000 4.0357 4.0357
4.0357 0.0000 4.0357
4.0357 4.0357 0.0000
Tl Si P
1 1 4
Cartesian
0.0000 0.0000 0.0000
2.0178 2.0178 2.0178
4.8352 3.2361 3.2361
3.2361 4.8352 3.2361
3.2361 3.2361 4.8352
4.8352 4.8352 4.8352
```

Summary:
total moment: 0.0 μB/f.u.
SG: F-43m (216)
formation energy from raw total energies: 0.617 eV/atom


(5)
This record from Alexandria via LeMat-Bulk describes a geometry-optimized Pm12DyY7 structure. The functional is GGA-PBE.

Geometry as POSCAR:
```
Pm12DyY7
1.0
6.0703 3.5047 5.4192
-6.0703 3.5047 5.4192
0.0000 -7.0093 5.4192
Pm Dy Y
12 1 7
Cartesian
-1.5042 -1.3667 4.7024
-3.1876 0.9756 7.2084
-2.4387 -2.2727 9.0492
-0.4315 1.9860 4.7024
0.7489 -3.2484 7.2084
1.9357 -0.6193 4.7024
-1.9357 0.6193 11.5553
-0.7489 3.2484 9.0492
0.4315 -1.9860 11.5553
2.4387 2.2727 7.2084
3.1876 -0.9756 9.0492
1.5042 1.3667 11.5553
0.0000 0.0000 0.0000
-2.1537 -4.9417 6.7807
-5.3565 -0.6056 9.4770
-3.2027 4.3360 6.7807
0.0000 0.0000 8.1288
3.2028 -4.3360 9.4770
5.3565 0.6056 6.7807
2.1537 4.9417 9.4770
```

Summary:
total moment: 0.0 μB/f.u.
SG: R-3 (148)
E_form: 0.2311 eV per atom
energy relative to the lowest polymorph listed for this composition: 0.000 eV/atom


(6)
This record from Alexandria via LeMat-Bulk describes a geometry-optimized UFe10B3 structure. The functional is GGA-PBE.

Geometry as POSCAR:
```
UFe10B3
1.0
0.0000 5.3398 5.3398
5.3398 0.0000 5.3398
5.3398 5.3398 0.0000
U Fe B
2 20 6
Cartesian
2.6699 2.6699 2.6699
8.0096 8.0096 8.0096
1.7690 1.7690 0.0000
3.5708 3.5708 0.0000
1.7690 0.0000 1.7690
5.3398 3.5708 1.7690
3.5708 0.0000 3.5708
5.3398 1.7690 3.5708
6.6151 4.0644 4.0644
0.0000 1.7690 1.7690
3.5708 5.3398 1.7690
3.5708 1.7690 5.3398
4.0644 4.0644 4.0644
6.6151 6.6151 4.0644
6.6151 4.0644 6.6151
4.0644 6.6151 4.0644
4.0644 4.0644 6.6151
6.6151 6.6151 6.6151
0.0000 3.5708 3.5708
1.7690 5.3398 3.5708
1.7690 3.5708 5.3398
4.0644 6.6151 6.6151
5.3398 5.3398 2.9357
5.3398 2.9357 5.3398
7.7438 5.3398 5.3398
2.9357 5.3398 5.3398
5.3398 7.7438 5.3398
5.3398 5.3398 7.7438
```

Summary:
total moment: 16.9 μB/f.u.
SG: Fm-3m (225)
E_form: -0.1943 eV per atom


(7)
This record from Alexandria via LeMat-Bulk describes a geometry-optimized CdHg2P2 structure. The functional is GGA-PBE.

Geometry as POSCAR:
```
CdHg2P2
1.0
-2.5637 2.5637 4.4342
2.5637 -2.5637 4.4342
2.5637 2.5637 -4.4342
Cd Hg P
1 2 2
Cartesian
0.0000 0.0000 0.0000
2.5637 0.0000 2.2171
0.0000 2.5637 2.2171
0.0000 0.0000 3.3538
0.0000 0.0000 5.5146
```

Summary:
total moment: 0.0 μB/f.u.
SG: I4/mmm (139)
E_form: 0.3099 eV per atom
energy relative to the lowest polymorph listed for this composition: 0.076 eV/atom


(8)
This record from Alexandria via LeMat-Bulk describes a geometry-optimized Si2MoAu structure. The functional is GGA-PBE.

Geometry as POSCAR:
```
Si2MoAu
1.0
-1.8376 1.8376 4.4812
1.8376 -1.8376 4.4812
1.8376 1.8376 -4.4812
Si Mo Au
2 1 1
Cartesian
0.0000 0.0000 0.0000
0.0000 1.8376 2.2406
0.0000 0.0000 4.4812
1.8376 0.0000 2.2406
```

Summary:
total moment: 0.6 μB/f.u.
SG: I-4m2 (119)
formation energy from raw total energies: 0.129 eV/atom
energy relative to the lowest polymorph listed for this composition: 0.192 eV/atom


Which value of total moment does entry 5 give?
0.0 μB/f.u.